[1]
Density functional theory data (GGA-PBE) for NaHo2Te3 after structural relaxation.

The structure in extended XYZ format:
```
6
Lattice="-2.178 3.101 6.658 2.178 -3.101 6.658 2.178 3.101 -6.658" Properties=species:S:1:pos:R:3 pbc="T T T"
Na 0.000 0.000 0.000
Ho 0.000 0.000 4.480
Ho 0.000 0.000 8.836
Te 2.178 0.000 2.290
Te 0.000 3.101 0.000
Te 0.000 3.101 4.368
```

## Properties
For the theoretical density, the calculation gives 6.79 g cm⁻³. For the size of the total moment, the calculation gives 0.00 μB per atom. Its space-group type is Immm. The calculation puts the energy above the most stable polymorph in this dataset at 0.000 eV per atom. As for the energy relative to the elements, uncorrected: -1.2777 eV/atom.

---

[2]
Density functional theory data (GGA-PBE) for NaHo2Te3 after structural relaxation.

The structure in extended XYZ format:
```
12
Lattice="4.209 0.000 0.000 0.000 12.280 0.000 0.000 0.000 7.466" Properties=species:S:1:pos:R:3 pbc="T T T"
Na 0.000 1.494 0.000
Na 0.000 10.785 3.733
Ho 0.000 2.590 3.778
Ho 0.000 9.690 0.045
Ho 2.105 6.078 3.780
Ho 2.105 6.202 0.047
Te 0.000 4.843 5.710
Te 0.000 7.436 1.977
Te 2.105 0.878 5.047
Te 2.105 3.642 1.799
Te 2.105 8.638 5.532
Te 2.105 11.401 1.315
```

## Properties
For the theoretical density, the calculation gives 6.33 g cm⁻³. For the size of the total moment, the calculation gives 0.00 μB per atom. Its space-group type is Pmc2_1. The calculation puts the energy above the most stable polymorph in this dataset at 0.096 eV per atom. As for the energy relative to the elements, uncorrected: -1.1820 eV/atom.

---

[3]
Density functional theory data (GGA-PBE) for NaHo4Te5 after structural relaxation.

The structure in extended XYZ format:
```
10
Lattice="7.299 -2.166 0.000 7.299 2.166 0.000 -5.340 0.000 9.323" Properties=species:S:1:pos:R:3 pbc="T T T"
Na 0.000 0.000 0.000
Ho -1.335 0.000 7.383
Ho 2.694 0.000 5.552
Ho 6.564 0.000 3.771
Ho 10.593 0.000 1.940
Te -2.670 0.000 4.662
Te 1.268 0.000 2.818
Te 5.230 0.000 0.941
Te 4.028 0.000 8.383
Te 7.989 0.000 6.506
```

## Properties
For the theoretical density, the calculation gives 7.44 g cm⁻³. For the size of the total moment, the calculation gives 0.00 μB per atom. Its space-group type is C2/m. As for the energy relative to the elements, uncorrected: -1.2774 eV/atom.

---

[4]
Density functional theory data (GGA-PBE) for NaHo2Te after structural relaxation.

The structure in extended XYZ format:
```
4
Lattice="1.938 1.119 11.101 -1.938 1.119 11.101 0.000 -2.238 11.101" Properties=species:S:1:pos:R:3 pbc="T T T"
Na 0.000 0.000 0.000
Ho 0.000 0.000 3.532
Ho 0.000 0.000 29.771
Te 0.000 0.000 16.652
```

## Properties
For the theoretical density, the calculation gives 5.52 g cm⁻³. For the size of the total moment, the calculation gives 0.00 μB per atom. Its space-group type is R-3m. As for the energy relative to the elements, uncorrected: -0.2585 eV/atom.

---

[5]
Density functional theory data (GGA-PBE) for Na4HoTh3Te8 after structural relaxation.

The structure in extended XYZ format:
```
16
Lattice="4.390 2.535 7.801 -4.390 2.535 7.801 0.000 -5.069 7.801" Properties=species:S:1:pos:R:3 pbc="T T T"
Na 0.000 0.000 0.000
Na -2.195 -1.267 7.801
Na -2.195 1.267 15.602
Na 0.000 2.535 7.801
Ho 0.000 0.000 11.702
Th -4.390 0.000 11.702
Th -2.195 1.267 3.901
Th 2.195 1.267 3.901
Te 0.000 0.000 5.831
Te -2.149 -1.241 13.576
Te 0.000 -2.481 9.828
Te -2.149 1.241 9.828
Te 2.149 -1.241 13.576
Te 0.000 2.481 13.576
Te 2.149 1.241 9.828
Te 0.000 0.000 17.573
```

## Properties
For the theoretical density, the calculation gives 6.29 g cm⁻³. For the size of the total moment, the calculation gives 0.00 μB per atom. Its space-group type is R-3m. As for the energy relative to the elements, uncorrected: -1.1433 eV/atom.

---

[6]
Density functional theory data (GGA-PBE) for Na2HoThTe4 after structural relaxation.

The structure in extended XYZ format:
```
8
Lattice="7.655 0.000 0.000 0.000 4.386 0.000 -2.516 0.000 7.696" Properties=species:S:1:pos:R:3 pbc="T T T"
Na 0.000 0.000 0.000
Na 3.828 2.193 0.000
Ho -1.258 2.193 3.848
Th 2.570 0.000 3.848
Te -0.015 0.000 5.658
Te 1.230 2.193 1.988
Te 3.909 2.193 5.708
Te 5.154 0.000 2.037
```

## Properties
For the theoretical density, the calculation gives 6.13 g cm⁻³. For the size of the total moment, the calculation gives 0.00 μB per atom. Its space-group type is P2/m. As for the energy relative to the elements, uncorrected: -1.1935 eV/atom.

---

[7]
Density functional theory data (GGA-PBE) for NaHo2Th3Te6 after structural relaxation.

The structure in extended XYZ format:
```
12
Lattice="9.956 -2.104 0.000 9.956 2.104 0.000 -3.275 0.000 8.711" Properties=species:S:1:pos:R:3 pbc="T T T"
Na 0.000 0.000 0.000
Ho 4.445 0.000 5.777
Ho 12.193 0.000 2.934
Th -1.637 0.000 4.355
Th 6.083 0.000 1.428
Th 10.555 0.000 7.283
Te 2.932 0.000 0.811
Te 1.485 0.000 5.028
Te 7.409 0.000 6.584
Te 9.229 0.000 2.127
Te 15.154 0.000 3.683
Te 13.706 0.000 7.900
```

## Properties
For the theoretical density, the calculation gives 8.26 g cm⁻³. For the size of the total moment, the calculation gives 0.00 μB per atom. Its space-group type is C2/m. As for the energy relative to the elements, uncorrected: -1.1203 eV/atom.

---

[8]
Density functional theory data (GGA-PBE) for Na3HoTh2Te6 after structural relaxation.

The structure in extended XYZ format:
```
12
Lattice="3.806 -6.592 0.000 3.806 6.592 0.000 -2.539 0.000 7.756" Properties=species:S:1:pos:R:3 pbc="T T T"
Na 0.000 0.000 0.000
Na 3.806 2.232 0.000
Na 3.806 -2.232 0.000
Ho 2.537 0.000 3.878
Th 2.537 4.402 3.878
Th 2.537 -4.402 3.878
Te 1.296 2.153 2.012
Te 0.054 0.000 5.749
Te 1.296 -2.153 2.012
Te 3.778 2.153 5.744
Te 5.019 0.000 2.006
Te 3.778 -2.153 5.744
```

## Properties
For the theoretical density, the calculation gives 6.24 g cm⁻³. For the size of the total moment, the calculation gives 0.00 μB per atom. Its space-group type is C2/m. As for the energy relative to the elements, uncorrected: -1.1581 eV/atom.

---

[9]
Density functional theory data (GGA-PBE) for Na3Ho2TiTe6 after structural relaxation.

The structure in extended XYZ format:
```
12
Lattice="3.728 -6.461 0.000 3.728 6.461 0.000 -2.496 0.000 7.566" Properties=species:S:1:pos:R:3 pbc="T T T"
Na 0.000 0.000 0.000
Na 3.728 2.231 0.000
Na 3.728 -2.231 0.000
Ho 2.480 4.314 3.783
Ho 2.480 -4.314 3.783
Ti 2.480 0.000 3.783
Te 1.307 2.037 2.084
Te 0.140 0.000 5.481
Te 1.307 -2.037 2.084
Te 3.653 2.037 5.482
Te 4.821 0.000 2.086
Te 3.653 -2.037 5.482
```

## Properties
For the theoretical density, the calculation gives 5.52 g cm⁻³. For the size of the total moment, the calculation gives 0.08 μB per atom. Its space-group type is C2/m. As for the energy relative to the elements, uncorrected: -1.1061 eV/atom.

---

[10]
Density functional theory data (GGA-PBE) for Na2HoTiTe4 after structural relaxation.

The structure in extended XYZ format:
```
8
Lattice="7.370 0.000 0.000 0.000 4.228 0.000 -2.439 0.000 7.598" Properties=species:S:1:pos:R:3 pbc="T T T"
Na 0.000 0.000 0.000
Na 3.685 2.114 0.000
Ho -1.219 2.114 3.799
Ti 2.465 0.000 3.799
Te 0.131 0.000 5.523
Te 1.353 2.114 2.157
Te 3.577 2.114 5.441
Te 4.800 0.000 2.075
```

## Properties
For the theoretical density, the calculation gives 5.40 g cm⁻³. For the size of the total moment, the calculation gives 0.13 μB per atom. Its space-group type is P2/m. As for the energy relative to the elements, uncorrected: -1.0119 eV/atom.

---

no.,energy (eV per atom)
1,-4.59
2,-4.50
3,-4.81
4,-3.66
5,-4.72
6,-4.59
7,-5.42
8,-4.68
9,-4.43
10,-4.47